A relaxed structure of Be2NiTeIr. Source: Alexandria, functional GGA-PBE.

Raw total energy, eV per atom: -4.336
Formation energy (no corrections), kJ/mol of formula units: 343.0

```
data_Be2NiTeIr
_chemical_formula_sum 'Be2 Ni1 Te1 Ir1'
_cell_length_a 4.026
_cell_length_b 4.026
_cell_length_c 4.716
_cell_angle_alpha 90.00
_cell_angle_beta 90.00
_cell_angle_gamma 90.00
_symmetry_space_group_name_H-M 'P 4/m m m'
_symmetry_Int_Tables_number 123
_symmetry_space_group_name_Hall '-P 4 2'
loop_
_atom_site_label
_atom_site_fract_x
_atom_site_fract_y
_atom_site_fract_z
Be1 0.000 0.500 0.000
Ni1 0.000 0.000 0.000
Te1 0.000 0.000 0.500
Ir1 0.500 0.500 0.500
```


A relaxed structure of ThCu5Pd6. Source: Alexandria, functional GGA-PBE.

Raw total energy, eV per atom: -5.261
Formation enthalpy at 0 K, meV per atom: -339.9

```
data_ThCu5Pd6
_chemical_formula_sum 'Th2 Cu10 Pd12'
_cell_length_a 4.172
_cell_length_b 12.448
_cell_length_c 7.081
_cell_angle_alpha 90.00
_cell_angle_beta 90.00
_cell_angle_gamma 90.00
_symmetry_space_group_name_H-M 'C m m m'
_symmetry_Int_Tables_number 65
_symmetry_space_group_name_Hall '-C 2 2'
loop_
_atom_site_label
_atom_site_fract_x
_atom_site_fract_y
_atom_site_fract_z
Th1 0.000 0.000 0.000
Cu1 0.000 0.000 0.500
Cu2 0.000 0.320 0.000
Cu3 0.000 0.335 0.500
Pd1 0.000 0.170 0.265
Pd2 0.000 0.500 0.273
```


A relaxed structure of Li2Cr3MoN6. Source: Alexandria, functional GGA-PBE.

Raw total energy, eV per atom: -8.307
Formation energy (no corrections), kJ/mol of formula units: -598.5

```
data_Li2Cr3MoN6
_chemical_formula_sum 'Li4 Cr6 Mo2 N12'
_cell_length_a 4.998
_cell_length_b 8.644
_cell_length_c 5.013
_cell_angle_alpha 90.00
_cell_angle_beta 108.54
_cell_angle_gamma 90.00
_symmetry_space_group_name_H-M 'C 1 2/m 1'
_symmetry_Int_Tables_number 12
loop_
_symmetry_equiv_pos_as_xyz
'x,y,z'
'-x,-y,-z'
'-x,y,-z'
'x,-y,z'
'x+1/2,y+1/2,z'
'-x+1/2,-y+1/2,-z'
'-x+1/2,y+1/2,-z'
'x+1/2,-y+1/2,z'
loop_
_atom_site_label
_atom_site_fract_x
_atom_site_fract_y
_atom_site_fract_z
Li1 0.000 0.160 0.000
Cr1 0.000 0.000 0.500
Cr2 0.000 0.309 0.500
Mo1 0.000 0.500 0.000
N1 0.230 0.500 0.721
N2 0.246 0.166 0.745
```


A relaxed structure of Dy6SiSe5. Source: Alexandria, functional GGA-PBE.

Raw total energy, eV per atom: -5.863
Formation energy (no corrections), kJ/mol of formula units: -1920.3

```
data_Dy6SiSe5
_chemical_formula_sum 'Dy12 Si2 Se10'
_cell_length_a 7.081
_cell_length_b 12.274
_cell_length_c 7.106
_cell_angle_alpha 90.00
_cell_angle_beta 109.41
_cell_angle_gamma 90.00
_symmetry_space_group_name_H-M 'C 1 2/m 1'
_symmetry_Int_Tables_number 12
loop_
_symmetry_equiv_pos_as_xyz
'x,y,z'
'-x,-y,-z'
'-x,y,-z'
'x,-y,z'
'x+1/2,y+1/2,z'
'-x+1/2,-y+1/2,-z'
'-x+1/2,y+1/2,-z'
'x+1/2,-y+1/2,z'
loop_
_atom_site_label
_atom_site_fract_x
_atom_site_fract_y
_atom_site_fract_z
Dy1 0.239 0.000 0.260
Dy2 0.240 0.160 0.740
Si1 0.000 0.000 0.500
Se1 0.000 0.170 0.000
Se2 0.000 0.334 0.500
Se3 0.000 0.500 0.000
```


A relaxed structure of ErAlTe. Source: Alexandria, functional GGA-PBE.

Raw total energy, eV per atom: -4.192
Formation energy (no corrections), kJ/mol of formula units: -108.8

```
data_ErAlTe
_chemical_formula_sum 'Er4 Al4 Te4'
_cell_length_a 12.482
_cell_length_b 3.913
_cell_length_c 6.781
_cell_angle_alpha 90.00
_cell_angle_beta 90.00
_cell_angle_gamma 90.00
_symmetry_space_group_name_H-M 'A m m 2'
_symmetry_Int_Tables_number 38
loop_
_symmetry_equiv_pos_as_xyz
'x,y,z'
'-x,-y,z'
'-x,y,z'
'x,-y,z'
'x,y+1/2,z+1/2'
'-x,-y+1/2,z+1/2'
'-x,y+1/2,z+1/2'
'x,-y+1/2,z+1/2'
loop_
_atom_site_label
_atom_site_fract_x
_atom_site_fract_y
_atom_site_fract_z
Er1 0.173 0.000 0.000
Al1 0.000 0.000 0.333
Al2 0.500 0.000 0.999
Te1 0.340 0.000 0.333
```


A relaxed structure of PmEr12Th5. Source: Alexandria, functional GGA-PBE.

Raw total energy, eV per atom: -5.326
Formation enthalpy at 0 K, meV per atom: 40.5

```
data_PmEr12Th5
_chemical_formula_sum 'Pm2 Er24 Th10'
_cell_length_a 18.411
_cell_length_b 10.567
_cell_length_c 6.134
_cell_angle_alpha 90.00
_cell_angle_beta 109.38
_cell_angle_gamma 90.00
_symmetry_space_group_name_H-M 'C 1 2/m 1'
_symmetry_Int_Tables_number 12
loop_
_symmetry_equiv_pos_as_xyz
'x,y,z'
'-x,-y,-z'
'-x,y,-z'
'x,-y,z'
'x+1/2,y+1/2,z'
'-x+1/2,-y+1/2,-z'
'-x+1/2,y+1/2,-z'
'x+1/2,-y+1/2,z'
loop_
_atom_site_label
_atom_site_fract_x
_atom_site_fract_y
_atom_site_fract_z
Pm1 0.000 0.000 0.000
Er1 0.000 0.167 0.500
Er2 0.000 0.337 0.000
Er3 0.166 0.334 0.500
Er4 0.168 0.166 0.999
Th1 0.000 0.500 0.500
Th2 0.167 0.500 0.001
Th3 0.168 0.000 0.507
```


A relaxed structure of TcBi2I. Source: Alexandria, functional GGA-PBE.

Energy above the most stable polymorph in this dataset, meV/atom: 320
Raw total energy, eV per atom: -4.006
Formation energy (no corrections), kJ/mol of formula units: 352.6

```
data_TcBi2I
_chemical_formula_sum 'Tc4 Bi8 I4'
_cell_length_a 7.549
_cell_length_b 7.549
_cell_length_c 7.549
_cell_angle_alpha 90.00
_cell_angle_beta 90.00
_cell_angle_gamma 90.00
_symmetry_space_group_name_H-M 'F m -3 m'
_symmetry_Int_Tables_number 225
_symmetry_space_group_name_Hall '-F 4 2 3'
loop_
_atom_site_label
_atom_site_fract_x
_atom_site_fract_y
_atom_site_fract_z
Tc1 0.000 0.000 0.000
Bi1 0.250 0.250 0.250
I1 0.000 0.000 0.500
```


A relaxed structure of MnZn2Re. Source: Alexandria, functional GGA-PBE.

Energy above the most stable polymorph in this dataset, meV/atom: 68
Raw total energy, eV per atom: -5.918
Formation enthalpy at 0 K, meV per atom: 123.8

```
data_MnZn2Re
_chemical_formula_sum 'Mn2 Zn4 Re2'
_cell_length_a 3.101
_cell_length_b 4.315
_cell_length_c 8.463
_cell_angle_alpha 90.00
_cell_angle_beta 90.00
_cell_angle_gamma 90.00
_symmetry_space_group_name_H-M 'C m m 2'
_symmetry_Int_Tables_number 35
loop_
_symmetry_equiv_pos_as_xyz
'x,y,z'
'-x,-y,z'
'-x,y,z'
'x,-y,z'
'x+1/2,y+1/2,z'
'-x+1/2,-y+1/2,z'
'-x+1/2,y+1/2,z'
'x+1/2,-y+1/2,z'
loop_
_atom_site_label
_atom_site_fract_x
_atom_site_fract_y
_atom_site_fract_z
Mn1 0.000 0.000 0.000
Zn1 0.000 0.000 0.505
Zn2 0.000 0.500 0.242
Re1 0.000 0.500 0.769
```


For the records above, the corresponding V values read 76.4; 367.7; 205.3; 582.5; 331.2; 1125.8; 430.2; 113.2 Å³ per cell.
For the records above, the corresponding spin magnetization values read 0.00; 0.00; 1.97; 0.00; 0.00; 0.00; 2.09; 2.12 μB per formula unit.